(1)
First-principles (SCAN) data for Zr2ScCr at its PBEsol-relaxed geometry, as listed in Alexandria via LeMat-Bulk.

## Properties
Crystal system: orthorhombic
Calculated formation energy, meV per atom: 139
Spin magnetization, μB/atom: 0.43
Energy above the most stable polymorph in this dataset, eV per atom: 0.011

Structure (CIF):
```
data_Zr2ScCr
_cell_length_a 3.310
_cell_length_b 4.761
_cell_length_c 9.766
_cell_angle_alpha 90.00
_cell_angle_beta 90.00
_cell_angle_gamma 90.00
_space_group_name_H-M_alt 'I m m 2'
_space_group_IT_number 44
_space_group_name_Hall 'I 2 -2'
loop_
_atom_site_label
_atom_site_fract_x
_atom_site_fract_y
_atom_site_fract_z
Zr1 0.000 0.000 0.000
Zr2 0.000 0.500 0.211
Sc1 0.000 0.500 0.786
Cr1 0.000 0.000 0.511
```

(2)
First-principles (SCAN) data for CdReBr3 at its PBEsol-relaxed geometry, as listed in Alexandria via LeMat-Bulk.

## Properties
Crystal system: cubic
Energy relative to the elements, uncorrected, eV/atom: 0.68
Spin magnetization, μB/atom: 1.20

Structure (CIF):
```
data_CdReBr3
_cell_length_a 5.353
_cell_length_b 5.353
_cell_length_c 5.353
_cell_angle_alpha 90.00
_cell_angle_beta 90.00
_cell_angle_gamma 90.00
_space_group_name_H-M_alt 'P m -3 m'
_space_group_IT_number 221
_space_group_name_Hall '-P 4 2 3'
loop_
_atom_site_label
_atom_site_fract_x
_atom_site_fract_y
_atom_site_fract_z
Cd1 0.000 0.000 0.000
Re1 0.500 0.500 0.500
Br1 0.000 0.000 0.500
```

(3)
First-principles (SCAN) data for Mg3Hg5 at its PBEsol-relaxed geometry, as listed in Alexandria via LeMat-Bulk.

## Properties
Crystal system: orthorhombic
Calculated formation energy, meV per atom: -223
Spin magnetization, μB/atom: 0.00
Energy above the most stable polymorph in this dataset, eV per atom: 0.000

Structure (CIF):
```
data_Mg3Hg5
_cell_length_a 8.257
_cell_length_b 9.024
_cell_length_c 4.527
_cell_angle_alpha 90.00
_cell_angle_beta 90.00
_cell_angle_gamma 90.00
_space_group_name_H-M_alt 'C m m m'
_space_group_IT_number 65
_space_group_name_Hall '-C 2 2'
loop_
_atom_site_label
_atom_site_fract_x
_atom_site_fract_y
_atom_site_fract_z
Mg1 0.000 0.000 0.000
Mg2 0.000 0.275 0.500
Hg1 0.000 0.500 0.000
Hg2 0.220 0.000 0.500
Hg3 0.250 0.250 0.000
```

(4)
First-principles (SCAN) data for ZnAg2Te at its PBEsol-relaxed geometry, as listed in Alexandria via LeMat-Bulk.

## Properties
Crystal system: tetragonal
Energy relative to the elements, uncorrected, eV/atom: 0.14
Spin magnetization, μB/atom: 0.00
Energy above the most stable polymorph in this dataset, eV per atom: 0.074

Structure (CIF):
```
data_ZnAg2Te
_cell_length_a 4.199
_cell_length_b 4.199
_cell_length_c 8.608
_cell_angle_alpha 90.00
_cell_angle_beta 90.00
_cell_angle_gamma 90.00
_space_group_name_H-M_alt 'I -4 m 2'
_space_group_IT_number 119
_space_group_name_Hall 'I -4 -2'
loop_
_atom_site_label
_atom_site_fract_x
_atom_site_fract_y
_atom_site_fract_z
Zn1 0.000 0.000 0.000
Ag1 0.000 0.000 0.500
Ag2 0.000 0.500 0.250
Te1 0.000 0.500 0.750
```

Q: Among the records above, which one has the highest spin magnetization?
A: CdReBr3

Q: Number 1 is which compound?
A: Zr2ScCr

Q: What is the formula in the fourth record?
A: ZnAg2Te